(1)
First-principles (GGA-PBE) data for crystalline TeAsAu3 at its relaxed geometry, as listed in Alexandria via LeMat-Bulk.

## Properties
Density ... 8.911 g/cm³
Formation energy (no corrections) ... 0.8329 eV per atom
Size of the total moment ... 2.2 μB per formula unit
Raw total energy ... -2.692 eV/atom

POSCAR file:
```
TeAsAu3
1.0
5.288 0.000 0.000
0.000 5.288 0.000
0.000 0.000 5.288
As Te Au
1 1 3
Direct
0.500 0.500 0.500
0.000 0.000 0.000
0.000 0.500 0.000
0.000 0.000 0.500
0.500 0.000 0.000
```

***

(2)
First-principles (GGA-PBE) data for crystalline Th4Bi5N at its relaxed geometry, as listed in Alexandria via LeMat-Bulk.

## Properties
Density ... 10.765 g/cm³
Formation energy (no corrections) ... -0.5234 eV per atom
Size of the total moment ... 0.0 μB per formula unit
Raw total energy ... -6.264 eV/atom

POSCAR file:
```
Th4Bi5N
1.0
4.048 0.012 -0.402
0.013 8.419 0.366
-3.178 -0.933 9.270
Th Bi N
4 5 1
Direct
0.228 0.900 0.729
0.052 0.809 0.052
0.772 0.100 0.271
0.948 0.191 0.948
0.718 0.572 0.719
0.579 0.175 0.580
0.421 0.825 0.420
0.500 0.500 0.000
0.282 0.428 0.281
0.500 0.000 0.000
```

***

(3)
First-principles (GGA-PBE) data for crystalline SrAg4Sn12 at its relaxed geometry, as listed in Alexandria via LeMat-Bulk.

## Properties
Density ... 6.907 g/cm³
Calculated formation energy ... -0.018 eV per atom
Size of the total moment ... 0.0 μB per formula unit
Raw total energy ... -3.613 eV/atom

POSCAR file:
```
SrAg4Sn12
1.0
-5.012 0.891 -6.766
7.103 -4.018 -2.258
-4.032 -4.509 5.924
Sr Ag Sn
1 4 12
Direct
0.000 0.000 0.000
0.000 0.500 0.000
0.500 0.000 0.000
0.500 0.500 0.500
0.000 0.000 0.500
0.844 0.350 0.194
0.350 0.506 0.156
0.806 0.156 0.650
0.350 0.194 0.844
0.194 0.844 0.350
0.650 0.494 0.844
0.506 0.156 0.350
0.494 0.844 0.650
0.650 0.806 0.156
0.844 0.650 0.494
0.156 0.350 0.506
0.156 0.650 0.806
```

***

(4)
First-principles (GGA-PBE) data for crystalline TbNdAu at its relaxed geometry, as listed in Alexandria via LeMat-Bulk.

## Properties
Density ... 9.592 g/cm³
Calculated formation energy ... -0.476 eV per atom
Size of the total moment ... 0.0 μB per formula unit
Raw total energy ... -4.701 eV/atom

POSCAR file:
```
TbNdAu
1.0
6.915 0.000 0.000
0.000 6.592 0.168
0.000 -1.170 7.568
Au Tb Nd
4 4 4
Direct
0.549 0.590 0.331
0.951 0.590 0.831
0.049 0.410 0.169
0.451 0.410 0.669
0.839 0.843 0.166
0.661 0.843 0.666
0.339 0.157 0.334
0.161 0.157 0.834
0.335 0.710 0.010
0.165 0.710 0.510
0.835 0.290 0.490
0.665 0.290 0.990
```

***

Q: Number 3 is which compound?
A: SrAg4Sn12

***

Q: Look up the raw total energy of the third one.
A: -3.613 eV/atom

***

Q: Which value of size of the total moment does entry 1 give?
A: 2.2 μB per formula unit